Here is a relaxed Sr2YTl crystal from Alexandria. Energies are from PBE.

Calculated values
Total energy = -12.38 eV/f.u.
Size of the total moment = 0.424 Bohr magnetons per cell
SG = R3m (160)
Formation enthalpy at 0 K = -0.047 eV per atom
Energy relative to the lowest polymorph listed for this composition = 86.7 meV/atom

```
Sr2YTl
1.0
11.9214 0.0068 0.0040
11.2564 3.9262 0.0040
11.2564 1.9101 3.4303
Tl Y Sr
1 1 2
Direct
0.5046 0.5046 0.5046
0.2362 0.2362 0.2362
0.7647 0.7647 0.7647
0.9945 0.9945 0.9945
```